Computed, not measured: MoSN2F after structural relaxation at the PBE with a Hubbard U level of DFT.

Computed properties:
Energy relative to the lowest polymorph listed for this composition ... 11.329 kcal/mol of atoms
Magnetic moment ... 3.23 μB/cell
Crystal system ... tetragonal

a = 3.7732 Å, b = 3.7732 Å, c = 3.9543 Å
α = 90.00°, β = 90.00°, γ = 90.00°
Space group P4/mmm (No. 123)
One atom of each set of equivalent atoms:
1 Mo 0.0000 0.0000 0.0000 (multiplicity 1)
2 S 0.5000 0.5000 0.5000 (multiplicity 1)
3 N 0.0000 0.5000 0.5000 (multiplicity 2)
4 F 0.5000 0.5000 0.0000 (multiplicity 1)